Material: InSeNF2
Method: DFT, GGA-PBE
State: relaxed

Computed properties:
The value obtained for the volume is 77.9 Å³ per cell. Its uncorrected formation energy is -1.59 eV/f.u. The calculation puts the electronic total energy at -3.976 eV per atom. For the relative energy among the computed polymorphs, the calculation gives 3.9 kJ/mol of atoms.

a = 4.1540 Å, b = 4.1540 Å, c = 4.5165 Å
α = 90.00°, β = 90.00°, γ = 90.00°
Space group P4/mmm (No. 123)
Inequivalent atoms, fractional coordinates:
In  0.0000  0.0000  0.0000
Se  0.5000  0.5000  0.5000
N  0.0000  0.0000  0.5000
F  0.0000  0.5000  0.0000